## LiBeN3 (GGA-PBEsol)

Data for an optimized crystal structure of LiBeN3.

extended XYZ file:
```
5
Lattice="3.446 0.000 0.000 0.000 3.446 0.000 0.000 0.000 3.446" Properties=species:S:1:pos:R:3 pbc="T T T"
Li 0.000 0.000 0.000
Be 1.723 1.723 1.723
N 0.000 0.000 1.723
N 0.000 1.723 0.000
N 1.723 0.000 0.000
```

Computed properties:
Uncorrected formation energy: 2086 meV/atom
Symmetry: Pm-3m, No. 221
M_tot: 0.002 Bohr magnetons per cell
Density of states at the Fermi level: 2.654 states/eV per cell
Crystal system: cubic